Entry 1:
CdAgHgPd (PBE, optimized geometry); space group = F-43m, No. 216; raw total energy = -2.437 eV per atom
1.0
4.729 0.000 0.000
2.365 4.095 0.000
2.365 1.365 3.861
Ag Pd Cd Hg
1 1 1 1
Direct
0.500 0.500 0.500 Ag
0.000 0.000 0.000 Pd
0.750 0.750 0.750 Cd
0.250 0.250 0.250 Hg

Entry 2:
K2ScNb (PBE, optimized geometry); space group = Fm-3m, No. 225; raw total energy = -3.087 eV per atom; excess energy over the best structure of this formula in the dataset = 157 meV/atom
1.0
0.809 -5.495 1.961
-4.425 -3.882 -0.206
0.195 -4.488 -3.810
K Sc Nb
2 1 1
Direct
0.250 0.250 0.250 K
0.750 0.750 0.750 K
0.000 0.000 0.000 Sc
0.500 0.500 0.500 Nb

Entry 3:
Si2WSe (PBE, optimized geometry); space group = C2/m, No. 12; formation energy from raw total energies = 339.2 meV/atom; raw total energy = -6.482 eV per atom
1.0
4.568 -0.006 -0.016
3.393 3.058 -0.016
0.105 0.040 4.992
Se W Si
1 1 2
Direct
0.250 0.250 0.250 Se
0.750 0.750 0.750 W
0.465 0.465 0.583 Si
0.035 0.035 0.917 Si

Entry 4:
Ac7Ir4Rh (PBE, optimized geometry); space group = Cm, No. 8; raw total energy = -6.576 eV per atom
1.0
4.240 0.000 0.000
-2.120 6.845 -1.848
0.000 -0.051 12.881
Ac Ir Rh
7 4 1
Direct
0.655 0.310 0.050 Ac
0.501 0.003 0.501 Ac
0.739 0.477 0.358 Ac
0.260 0.521 0.642 Ac
0.041 0.081 0.785 Ac
0.959 0.919 0.215 Ac
0.345 0.689 0.950 Ac
0.695 0.390 0.809 Ir
0.304 0.607 0.188 Ir
0.115 0.231 0.426 Ir
0.000 0.000 0.999 Ir
0.886 0.772 0.576 Rh

- Number 1 is which compound?
  CdAgHgPd

Copy entry 2 word for word.
K2ScNb (PBE, optimized geometry); space group = Fm-3m, No. 225; raw total energy = -3.087 eV per atom; excess energy over the best structure of this formula in the dataset = 157 meV/atom
1.0
0.809 -5.495 1.961
-4.425 -3.882 -0.206
0.195 -4.488 -3.810
K Sc Nb
2 1 1
Direct
0.250 0.250 0.250 K
0.750 0.750 0.750 K
0.000 0.000 0.000 Sc
0.500 0.500 0.500 Nb